No. 1
DFT (PBE) results for a relaxed Zn2FeSi crystal.

Values from the calculation:
- crystal system = orthorhombic
- magnetic moment (μB/f.u.) = 0.7

The structure in CIF format:
```
data_Zn2FeSi
_cell_length_a 2.606
_cell_length_b 3.752
_cell_length_c 5.878
_cell_angle_alpha 90.00
_cell_angle_beta 90.00
_cell_angle_gamma 90.00
_space_group_name_H-M_alt 'P m m 2'
_space_group_IT_number 25
loop_
_space_group_symop_operation_xyz
'x,y,z'
'-x,-y,z'
'-x,y,z'
'x,-y,z'
loop_
_atom_site_label
_atom_site_type_symbol
_atom_site_fract_x
_atom_site_fract_y
_atom_site_fract_z
Zn1 Zn 0.000 0.000 0.000
Zn2 Zn 0.500 0.500 0.242
Fe1 Fe 0.000 0.500 0.622
Si1 Si 0.500 0.000 0.605
```

***

No. 2
DFT (PBE) results for a relaxed Zn2FeSi crystal.

Values from the calculation:
- crystal system = monoclinic
- magnetic moment (μB/f.u.) = 2.0

The structure in CIF format:
```
data_Zn2FeSi
_cell_length_a 5.013
_cell_length_b 9.450
_cell_length_c 2.628
_cell_angle_alpha 90.00
_cell_angle_beta 119.91
_cell_angle_gamma 90.00
_space_group_name_H-M_alt 'C 1 2/m 1'
_space_group_IT_number 12
loop_
_space_group_symop_operation_xyz
'x,y,z'
'-x,-y,-z'
'-x,y,-z'
'x,-y,z'
'x+1/2,y+1/2,z'
'-x+1/2,-y+1/2,-z'
'-x+1/2,y+1/2,-z'
'x+1/2,-y+1/2,z'
loop_
_atom_site_label
_atom_site_type_symbol
_atom_site_fract_x
_atom_site_fract_y
_atom_site_fract_z
Zn1 Zn 0.250 0.250 0.000
Fe1 Fe 0.000 0.000 0.000
Si1 Si 0.000 0.500 0.000
```

***

no.,mass density (g cm⁻³),V (Å³ per atom),formation energy without anion corrections (eV per atom)
1,6.205,14.4,0.008
2,6.610,13.5,0.078